Entry 1:
# Y2BiSe2

A relaxed structure of Y2BiSe2 (GGA-PBE, the Alexandria database).

Its uncorrected formation energy is -1.162 eV per atom.

The space group is P4/mbm (No. 127) and the conventional cell measures 8.466, 8.466 and 3.516 Å, with angles of 90.00, 90.00 and 90.00 degrees. The distinct sites, in fractional coordinates, are Y at (0.162, 0.338, 0.000), Bi at (0.000, 0.000, 0.500) and Se at (0.130, 0.630, 0.500).

---

Entry 2:
# Rb4BOs2

A relaxed structure of Rb4BOs2 (GGA-PBE, the Alexandria database).

As for the formation enthalpy at 0 K: 1.7323 eV per atom.

The space group is I4/mmm (No. 139) and the conventional cell measures 6.829, 6.829 and 15.353 Å, with angles of 90.00, 90.00 and 90.00 degrees. The distinct sites, in fractional coordinates, are Rb at (0.000, 0.000, 0.199), Rb at (0.000, 0.500, 0.000), B at (0.000, 0.000, 0.000) and Os at (0.000, 0.000, 0.427).

---

Entry 3:
# Ca2Be2CuPd5

A relaxed structure of Ca2Be2CuPd5 (GGA-PBE, the Alexandria database).

As for the formation enthalpy at 0 K: -0.5548 eV per atom.

The space group is P4/mbm (No. 127) and the conventional cell measures 9.697, 9.697 and 3.341 Å, with angles of 90.00, 90.00 and 90.00 degrees. The distinct sites, in fractional coordinates, are Ca at (0.178, 0.322, 0.000), Be at (0.121, 0.621, 0.000), Cu at (0.000, 0.000, 0.000), Pd at (0.000, 0.500, 0.500) and Pd at (0.066, 0.788, 0.500).

---

Entry 4:
# Zr2In2HPd

A relaxed structure of Zr2In2HPd (GGA-PBE, the Alexandria database).

As for the total DFT energy (no corrections): -5.50 eV per atom.

The space group is Ibam (No. 72) and the conventional cell measures 6.865, 12.156 and 5.584 Å, with angles of 90.00, 90.00 and 90.00 degrees. The distinct sites, in fractional coordinates, are Zr at (0.175, 0.079, 0.000), In at (0.213, 0.326, 0.000), H at (0.000, 0.000, 0.250) and Pd at (0.000, 0.500, 0.250).